# 1
Material: Tb2Nd2Sm2Y
Method: DFT, PBE-GGA
State: relaxed

Output
VASP energy: -4.941 eV per atom
Formation energy: 0.02 eV/atom

Geometry as CIF:
```
data_Tb2Nd2Sm2Y
_cell_length_a 11.4427
_cell_length_b 5.1180
_cell_length_c 8.0887
_cell_angle_alpha 90.00
_cell_angle_beta 98.18
_cell_angle_gamma 90.00
_space_group_name_H-M_alt 'C 1 2/m 1'
_space_group_IT_number 12
_space_group_name_Hall '-C 2y'
loop_
_atom_site_label
_atom_site_type_symbol
_atom_site_fract_x
_atom_site_fract_y
_atom_site_fract_z
Tb1 Tb 0.2147 0.0000 0.1406
Nd1 Nd 0.1432 0.5000 0.4279
Sm1 Sm 0.0715 0.0000 0.7170
Y1 Y 0.0000 0.5000 0.0000
```


# 2
Material: Tb5NdSmY2
Method: DFT, PBE-GGA
State: relaxed

Output
VASP energy: -4.912 eV per atom
Formation energy: 0.15 eV/atom

Geometry as CIF:
```
data_Tb5NdSmY2
_cell_length_a 5.6583
_cell_length_b 19.9320
_cell_length_c 10.6502
_cell_angle_alpha 90.00
_cell_angle_beta 90.00
_cell_angle_gamma 90.00
_space_group_name_H-M_alt 'C m c 21'
_space_group_IT_number 36
_space_group_name_Hall 'C 2c -2'
loop_
_atom_site_label
_atom_site_type_symbol
_atom_site_fract_x
_atom_site_fract_y
_atom_site_fract_z
Tb1 Tb 0.0000 0.0185 0.0000
Tb2 Tb 0.0000 0.2826 0.2830
Tb3 Tb 0.0000 0.2980 0.6806
Tb4 Tb 0.0000 0.3920 0.9975
Tb5 Tb 0.0000 0.4782 0.7111
Nd1 Nd 0.0000 0.4164 0.4261
Sm1 Sm 0.0000 0.2023 0.9844
Y1 Y 0.0000 0.1102 0.7079
Y2 Y 0.0000 0.1146 0.2955
```


# 3
Material: Tb5Nd2SmY
Method: DFT, PBE-GGA
State: relaxed

Output
VASP energy: -4.608 eV per atom
Formation energy: 0.27 eV/atom

Geometry as CIF:
```
data_Tb5Nd2SmY
_cell_length_a 8.7151
_cell_length_b 8.7151
_cell_length_c 15.7629
_cell_angle_alpha 90.00
_cell_angle_beta 90.00
_cell_angle_gamma 90.00
_space_group_name_H-M_alt 'I 4/m c m'
_space_group_IT_number 140
_space_group_name_Hall '-I 4 2c'
loop_
_atom_site_label
_atom_site_type_symbol
_atom_site_fract_x
_atom_site_fract_y
_atom_site_fract_z
Tb1 Tb 0.0000 0.0000 0.0000
Tb2 Tb 0.2119 0.2881 0.1391
Nd1 Nd 0.1178 0.3822 0.5000
Sm1 Sm 0.0000 0.0000 0.2500
Y1 Y 0.0000 0.5000 0.2500
```


# 4
Material: TbNd2SmY6
Method: DFT, PBE-GGA
State: relaxed

Output
VASP energy: -5.654 eV per atom
Formation energy: 0.11 eV/atom

Geometry as CIF:
```
data_TbNd2SmY6
_cell_length_a 9.1178
_cell_length_b 15.0800
_cell_length_c 9.8400
_cell_angle_alpha 90.00
_cell_angle_beta 99.83
_cell_angle_gamma 90.00
_space_group_name_H-M_alt 'C 1 2/c 1'
_space_group_IT_number 15
_space_group_name_Hall '-C 2yc'
loop_
_atom_site_label
_atom_site_type_symbol
_atom_site_fract_x
_atom_site_fract_y
_atom_site_fract_z
Tb1 Tb 0.0000 0.0938 0.2500
Nd1 Nd 0.2422 0.4506 0.0441
Sm1 Sm 0.0000 0.4821 0.7500
Y1 Y 0.0683 0.3106 0.4431
Y2 Y 0.0985 0.1048 0.6182
Y3 Y 0.2029 0.2772 0.8146
```


# 5
Material: Tb2Nd6Sm3Y
Method: DFT, PBE-GGA
State: relaxed

Output
VASP energy: -4.863 eV per atom
Formation energy: 0.01 eV/atom

Geometry as CIF:
```
data_Tb2Nd6Sm3Y
_cell_length_a 6.3187
_cell_length_b 10.9454
_cell_length_c 12.0124
_cell_angle_alpha 90.00
_cell_angle_beta 100.09
_cell_angle_gamma 90.00
_space_group_name_H-M_alt 'C 1 2/m 1'
_space_group_IT_number 12
_space_group_name_Hall '-C 2y'
loop_
_atom_site_label
_atom_site_type_symbol
_atom_site_fract_x
_atom_site_fract_y
_atom_site_fract_z
Tb1 Tb 0.0000 0.1667 0.0000
Nd1 Nd 0.2493 0.0000 0.2483
Nd2 Nd 0.2497 0.1670 0.7518
Sm1 Sm 0.0000 0.0000 0.5000
Sm2 Sm 0.0000 0.3333 0.5000
Y1 Y 0.0000 0.5000 0.0000
```


# 6
Material: TbNd6SmY2
Method: DFT, PBE-GGA
State: relaxed

Output
VASP energy: -4.972 eV per atom
Formation energy: 0.12 eV/atom

Geometry as CIF:
```
data_TbNd6SmY2
_cell_length_a 9.3790
_cell_length_b 15.3564
_cell_length_c 9.6729
_cell_angle_alpha 90.00
_cell_angle_beta 96.93
_cell_angle_gamma 90.00
_space_group_name_H-M_alt 'C 1 2/c 1'
_space_group_IT_number 15
_space_group_name_Hall '-C 2yc'
loop_
_atom_site_label
_atom_site_type_symbol
_atom_site_fract_x
_atom_site_fract_y
_atom_site_fract_z
Tb1 Tb 0.0000 0.0319 0.2500
Nd1 Nd 0.0630 0.1755 0.9433
Nd2 Nd 0.0952 0.3895 0.1177
Nd3 Nd 0.2121 0.2242 0.3141
Sm1 Sm 0.0000 0.4087 0.7500
Y1 Y 0.2466 0.0475 0.5481
```


# 7
Material: TbNd2SmY5
Method: DFT, PBE-GGA
State: relaxed

Output
VASP energy: -5.443 eV per atom
Formation energy: 0.25 eV/atom

Geometry as CIF:
```
data_TbNd2SmY5
_cell_length_a 8.6801
_cell_length_b 8.6801
_cell_length_c 15.7755
_cell_angle_alpha 90.00
_cell_angle_beta 90.00
_cell_angle_gamma 90.00
_space_group_name_H-M_alt 'I 4/m c m'
_space_group_IT_number 140
_space_group_name_Hall '-I 4 2c'
loop_
_atom_site_label
_atom_site_type_symbol
_atom_site_fract_x
_atom_site_fract_y
_atom_site_fract_z
Tb1 Tb 0.0000 0.0000 0.2500
Nd1 Nd 0.1180 0.3820 0.0000
Sm1 Sm 0.0000 0.5000 0.2500
Y1 Y 0.0000 0.0000 0.0000
Y2 Y 0.2090 0.2910 0.3613
```


# 8
Material: Tb2NdSm3Y6
Method: DFT, PBE-GGA
State: relaxed

Output
VASP energy: -5.566 eV per atom
Formation energy: 0.01 eV/atom

Geometry as CIF:
```
data_Tb2NdSm3Y6
_cell_length_a 6.2293
_cell_length_b 10.7827
_cell_length_c 11.8655
_cell_angle_alpha 90.00
_cell_angle_beta 100.03
_cell_angle_gamma 90.00
_space_group_name_H-M_alt 'C 1 2/m 1'
_space_group_IT_number 12
_space_group_name_Hall '-C 2y'
loop_
_atom_site_label
_atom_site_type_symbol
_atom_site_fract_x
_atom_site_fract_y
_atom_site_fract_z
Tb1 Tb 0.0000 0.1667 0.0000
Nd1 Nd 0.0000 0.5000 0.0000
Sm1 Sm 0.0000 0.0000 0.5000
Sm2 Sm 0.0000 0.3332 0.5000
Y1 Y 0.2495 0.0000 0.2495
Y2 Y 0.2497 0.1669 0.7505
```


# 9
Material: Tb2NdSm2Y6
Method: DFT, PBE-GGA
State: relaxed

Output
VASP energy: -5.508 eV per atom
Formation energy: 0.15 eV/atom

Geometry as CIF:
```
data_Tb2NdSm2Y6
_cell_length_a 5.7278
_cell_length_b 12.0766
_cell_length_c 10.6261
_cell_angle_alpha 90.00
_cell_angle_beta 90.07
_cell_angle_gamma 90.00
_space_group_name_H-M_alt 'C 1 2/m 1'
_space_group_IT_number 12
_space_group_name_Hall '-C 2y'
loop_
_atom_site_label
_atom_site_type_symbol
_atom_site_fract_x
_atom_site_fract_y
_atom_site_fract_z
Tb1 Tb 0.0000 0.2053 0.0000
Nd1 Nd 0.0000 0.5000 0.0000
Sm1 Sm 0.0000 0.1338 0.5000
Y1 Y 0.0009 0.0000 0.7910
Y2 Y 0.0008 0.3472 0.7062
```


# 10
Material: TbNd2Sm6Y3
Method: DFT, PBE-GGA
State: relaxed

Output
VASP energy: -5.142 eV per atom
Formation energy: 0.01 eV/atom

Geometry as CIF:
```
data_TbNd2Sm6Y3
_cell_length_a 6.2713
_cell_length_b 10.8602
_cell_length_c 11.9775
_cell_angle_alpha 90.00
_cell_angle_beta 100.03
_cell_angle_gamma 90.00
_space_group_name_H-M_alt 'C 1 2/m 1'
_space_group_IT_number 12
_space_group_name_Hall '-C 2y'
loop_
_atom_site_label
_atom_site_type_symbol
_atom_site_fract_x
_atom_site_fract_y
_atom_site_fract_z
Tb1 Tb 0.0000 0.0000 0.0000
Nd1 Nd 0.0000 0.3333 0.0000
Sm1 Sm 0.2486 0.0000 0.7478
Sm2 Sm 0.2502 0.1663 0.2519
Y1 Y 0.0000 0.1665 0.5000
Y2 Y 0.0000 0.5000 0.5000
```


# 11
Material: TbNd2Sm2Y6
Method: DFT, PBE-GGA
State: relaxed

Output
VASP energy: -5.487 eV per atom
Formation energy: 0.18 eV/atom

Geometry as CIF:
```
data_TbNd2Sm2Y6
_cell_length_a 6.1748
_cell_length_b 10.7423
_cell_length_c 11.7665
_cell_angle_alpha 90.00
_cell_angle_beta 100.38
_cell_angle_gamma 90.00
_space_group_name_H-M_alt 'C 1 2/m 1'
_space_group_IT_number 12
_space_group_name_Hall '-C 2y'
loop_
_atom_site_label
_atom_site_type_symbol
_atom_site_fract_x
_atom_site_fract_y
_atom_site_fract_z
Tb1 Tb 0.0000 0.0000 0.0000
Nd1 Nd 0.0000 0.1659 0.5000
Sm1 Sm 0.0000 0.3357 0.0000
Y1 Y 0.2494 0.0000 0.7513
Y2 Y 0.2491 0.3339 0.7505
```


# 12
Material: Tb2Nd4SmY2
Method: DFT, PBE-GGA
State: relaxed

Output
VASP energy: -5.094 eV per atom
Formation energy: 0.02 eV/atom

Geometry as CIF:
```
data_Tb2Nd4SmY2
_cell_length_a 15.3846
_cell_length_b 5.1217
_cell_length_c 8.0973
_cell_angle_alpha 90.00
_cell_angle_beta 108.38
_cell_angle_gamma 90.00
_space_group_name_H-M_alt 'C 1 2/m 1'
_space_group_IT_number 12
_space_group_name_Hall '-C 2y'
loop_
_atom_site_label
_atom_site_type_symbol
_atom_site_fract_x
_atom_site_fract_y
_atom_site_fract_z
Tb1 Tb 0.1675 0.0000 0.9999
Nd1 Nd 0.0548 0.0000 0.3311
Nd2 Nd 0.2224 0.5000 0.3319
Sm1 Sm 0.0000 0.5000 0.0000
Y1 Y 0.1115 0.5000 0.6684
```


# 13
Material: TbNdSm2Y5
Method: DFT, PBE-GGA
State: relaxed

Output
VASP energy: -5.435 eV per atom
Formation energy: 0.25 eV/atom

Geometry as CIF:
```
data_TbNdSm2Y5
_cell_length_a 8.6791
_cell_length_b 8.6791
_cell_length_c 15.6933
_cell_angle_alpha 90.00
_cell_angle_beta 90.00
_cell_angle_gamma 90.00
_space_group_name_H-M_alt 'I 4/m c m'
_space_group_IT_number 140
_space_group_name_Hall '-I 4 2c'
loop_
_atom_site_label
_atom_site_type_symbol
_atom_site_fract_x
_atom_site_fract_y
_atom_site_fract_z
Tb1 Tb 0.0000 0.0000 0.2500
Nd1 Nd 0.0000 0.5000 0.2500
Sm1 Sm 0.1179 0.3821 0.0000
Y1 Y 0.0000 0.0000 0.0000
Y2 Y 0.2066 0.2934 0.3627
```


# 14
Material: Tb2Nd6SmY
Method: DFT, PBE-GGA
State: relaxed

Output
VASP energy: -4.794 eV per atom
Formation energy: 0.11 eV/atom

Geometry as CIF:
```
data_Tb2Nd6SmY
_cell_length_a 9.2676
_cell_length_b 15.4135
_cell_length_c 9.7608
_cell_angle_alpha 90.00
_cell_angle_beta 97.76
_cell_angle_gamma 90.00
_space_group_name_H-M_alt 'C 1 2/c 1'
_space_group_IT_number 15
_space_group_name_Hall '-C 2yc'
loop_
_atom_site_label
_atom_site_type_symbol
_atom_site_fract_x
_atom_site_fract_y
_atom_site_fract_z
Tb1 Tb 0.2494 0.0493 0.0449
Nd1 Nd 0.0626 0.1796 0.4456
Nd2 Nd 0.0995 0.3920 0.6195
Nd3 Nd 0.2106 0.2238 0.8144
Sm1 Sm 0.0000 0.0260 0.7500
Y1 Y 0.0000 0.4097 0.2500
```


# 15
Material: Tb3Nd2SmY6
Method: DFT, PBE-GGA
State: relaxed

Output
VASP energy: -5.562 eV per atom
Formation energy: 0.02 eV/atom

Geometry as CIF:
```
data_Tb3Nd2SmY6
_cell_length_a 6.2293
_cell_length_b 10.7823
_cell_length_c 11.8605
_cell_angle_alpha 90.00
_cell_angle_beta 100.03
_cell_angle_gamma 90.00
_space_group_name_H-M_alt 'C 1 2/m 1'
_space_group_IT_number 12
_space_group_name_Hall '-C 2y'
loop_
_atom_site_label
_atom_site_type_symbol
_atom_site_fract_x
_atom_site_fract_y
_atom_site_fract_z
Tb1 Tb 0.0000 0.0000 0.0000
Tb2 Tb 0.0000 0.3333 0.0000
Nd1 Nd 0.0000 0.1666 0.5000
Sm1 Sm 0.0000 0.5000 0.5000
Y1 Y 0.2492 0.1666 0.2476
Y2 Y 0.2489 0.5000 0.2475
```


# 16
Material: TbNd5SmY2
Method: DFT, PBE-GGA
State: relaxed

Output
VASP energy: -4.985 eV per atom
Formation energy: 0.14 eV/atom

Geometry as CIF:
```
data_TbNd5SmY2
_cell_length_a 5.7106
_cell_length_b 20.4931
_cell_length_c 10.7366
_cell_angle_alpha 90.00
_cell_angle_beta 90.00
_cell_angle_gamma 90.00
_space_group_name_H-M_alt 'C m c 21'
_space_group_IT_number 36
_space_group_name_Hall 'C 2c -2'
loop_
_atom_site_label
_atom_site_type_symbol
_atom_site_fract_x
_atom_site_fract_y
_atom_site_fract_z
Tb1 Tb 0.0000 0.0896 0.0000
Nd1 Nd 0.0000 0.0207 0.2852
Nd2 Nd 0.0000 0.1079 0.5673
Nd3 Nd 0.0000 0.2039 0.2451
Nd4 Nd 0.0000 0.2182 0.8513
Nd5 Nd 0.0000 0.4823 0.5642
Sm1 Sm 0.0000 0.2984 0.5511
Y1 Y 0.0000 0.3830 0.8616
Y2 Y 0.0000 0.3891 0.2783
```


# 17
Material: Tb2Nd6SmY3
Method: DFT, PBE-GGA
State: relaxed

Output
VASP energy: -5.155 eV per atom
Formation energy: 0.01 eV/atom

Geometry as CIF:
```
data_Tb2Nd6SmY3
_cell_length_a 6.3031
_cell_length_b 10.9170
_cell_length_c 11.9409
_cell_angle_alpha 90.00
_cell_angle_beta 100.10
_cell_angle_gamma 90.00
_space_group_name_H-M_alt 'C 1 2/m 1'
_space_group_IT_number 12
_space_group_name_Hall '-C 2y'
loop_
_atom_site_label
_atom_site_type_symbol
_atom_site_fract_x
_atom_site_fract_y
_atom_site_fract_z
Tb1 Tb 0.0000 0.1666 0.0000
Nd1 Nd 0.2493 0.1669 0.7497
Nd2 Nd 0.2502 0.0000 0.2503
Sm1 Sm 0.0000 0.5000 0.0000
Y1 Y 0.0000 0.0000 0.5000
Y2 Y 0.0000 0.3332 0.5000
```


# 18
Material: Tb2Nd4Sm2Y
Method: DFT, PBE-GGA
State: relaxed

Output
VASP energy: -4.898 eV per atom
Formation energy: 0.02 eV/atom

Geometry as CIF:
```
data_Tb2Nd4Sm2Y
_cell_length_a 15.4300
_cell_length_b 5.1440
_cell_length_c 8.1054
_cell_angle_alpha 90.00
_cell_angle_beta 108.57
_cell_angle_gamma 90.00
_space_group_name_H-M_alt 'C 1 2/m 1'
_space_group_IT_number 12
_space_group_name_Hall '-C 2y'
loop_
_atom_site_label
_atom_site_type_symbol
_atom_site_fract_x
_atom_site_fract_y
_atom_site_fract_z
Tb1 Tb 0.1671 0.0000 0.9997
Nd1 Nd 0.0550 0.0000 0.3322
Nd2 Nd 0.2224 0.5000 0.3315
Sm1 Sm 0.1116 0.5000 0.6689
Y1 Y 0.0000 0.5000 0.0000
```


# 19
Material: Tb6NdSm2Y3
Method: DFT, PBE-GGA
State: relaxed

Output
VASP energy: -5.099 eV per atom
Formation energy: 0.02 eV/atom

Geometry as CIF:
```
data_Tb6NdSm2Y3
_cell_length_a 6.2125
_cell_length_b 10.7536
_cell_length_c 11.8830
_cell_angle_alpha 90.00
_cell_angle_beta 99.99
_cell_angle_gamma 90.00
_space_group_name_H-M_alt 'C 1 2/m 1'
_space_group_IT_number 12
_space_group_name_Hall '-C 2y'
loop_
_atom_site_label
_atom_site_type_symbol
_atom_site_fract_x
_atom_site_fract_y
_atom_site_fract_z
Tb1 Tb 0.2492 0.0000 0.2481
Tb2 Tb 0.2487 0.3332 0.2481
Nd1 Nd 0.0000 0.0000 0.5000
Sm1 Sm 0.0000 0.3334 0.5000
Y1 Y 0.0000 0.1667 0.0000
Y2 Y 0.0000 0.5000 0.0000
```


| no. | D(E_F) (states/eV per cell) |
| --- | --- |
| 1 | 20.27 |
| 2 | 57.82 |
| 3 | 46.60 |
| 4 | 60.26 |
| 5 | 31.44 |
| 6 | 60.42 |
| 7 | 42.18 |
| 8 | 31.67 |
| 9 | 33.91 |
| 10 | 32.60 |
| 11 | 35.71 |
| 12 | 26.64 |
| 13 | 40.53 |
| 14 | 57.22 |
| 15 | 32.37 |
| 16 | 57.83 |
| 17 | 29.51 |
| 18 | 28.25 |
| 19 | 32.72 |